Record 1
Computed, not measured: a relaxed structure of RbSi2 at the PBE level of DFT.

The space group is I4/mmm (No. 139) and the conventional cell measures 3.4943, 3.4943 and 12.6000 Å, with angles of 90.00, 90.00 and 90.00 degrees. Symmetry generates all atoms from Rb at (0.0000, 0.0000, 0.0000) and Si at (0.0000, 0.0000, 0.2682).

The final energy is -10.8 eV/f.u.

Record 2
Computed, not measured: a relaxed structure of RbSi6 at the PBE level of DFT.

The space group is Im-3m (No. 229) and the conventional cell measures 6.7966, 6.7966 and 6.7966 Å, with angles of 90.00, 90.00 and 90.00 degrees. Symmetry generates all atoms from Rb at (0.0000, 0.0000, 0.0000) and Si at (0.0000, 0.2500, 0.5000).

The final energy is -33.3 eV/f.u.

Record 3
Computed, not measured: a relaxed structure of RbSmSiTe4 at the PBE level of DFT.

The space group is P2_1/m (No. 11) and the conventional cell measures 7.2469, 7.5961 and 10.1219 Å, with angles of 90.00, 108.51 and 90.00 degrees. Symmetry generates all atoms from Rb at (0.2385, 0.2500, 0.0572), Sm at (0.2316, 0.2500, 0.5520), Si at (0.2155, 0.7500, 0.3293), Te at (0.0175, 0.5083, 0.7102), Te at (0.4121, 0.7500, 0.1655) and Te at (0.4268, 0.7500, 0.5799).

The final energy is -29.5 eV/f.u.

Record 4
Computed, not measured: a relaxed structure of RbSiSn at the PBE level of DFT.

The space group is C2/m (No. 12) and the conventional cell measures 14.1189, 5.6679 and 6.0931 Å, with angles of 90.00, 109.17 and 90.00 degrees. Symmetry generates all atoms from Rb at (0.1777, 0.0000, 0.2105), Si at (0.0000, 0.1990, 0.5000) and Sn at (0.0659, 0.5000, 0.8505).

The calculation puts the energy above the most stable polymorph in this dataset at 32 meV/atom. The final energy is -10.3 eV/f.u.

Record 5
Computed, not measured: a relaxed structure of RbSiSn at the PBE level of DFT.

The space group is P-1 (No. 2) and the conventional cell measures 4.2001, 7.0779 and 7.7931 Å, with angles of 72.38, 75.46 and 85.58 degrees. Symmetry generates all atoms from Rb at (0.1195, 0.3213, 0.2824), Si at (0.1822, 0.8455, 0.0263) and Sn at (0.4217, 0.1701, 0.7433).

The calculation puts the energy above the most stable polymorph in this dataset at 0 meV/atom. The final energy is -10.4 eV/f.u.

Record 6
Computed, not measured: a relaxed structure of RbSiSn2 at the PBE level of DFT.

The space group is R-3m (No. 166, hexagonal axes) and the conventional cell measures 4.6352, 4.6352 and 21.6756 Å, with angles of 90.00, 90.00 and 120.00 degrees. Symmetry generates all atoms from Rb at (0.0000, 0.0000, 0.0000), Si at (0.0000, 0.0000, 0.5000) and Sn at (0.0000, 0.0000, 0.2117).

The final energy is -14.0 eV/f.u.

Record 7
Computed, not measured: a relaxed structure of RbSiSn at the PBE level of DFT.

The space group is Cm (No. 8) and the conventional cell measures 13.4632, 7.3545 and 4.3800 Å, with angles of 90.00, 106.71 and 90.00 degrees. Symmetry generates all atoms from Rb at (0.0000, 0.0000, 0.0000), Rb at (0.1205, 0.5000, 0.6282), Si at (0.2136, 0.0000, 0.6585), Si at (0.4007, 0.0000, 0.9165) and Sn at (0.3164, 0.2090, 0.3367).

The calculation puts the energy above the most stable polymorph in this dataset at 8 meV/atom. The final energy is -10.4 eV/f.u.

Record 8
Computed, not measured: a relaxed structure of RbSiSn at the PBE level of DFT.

The space group is P3m1 (No. 156) and the conventional cell measures 4.3606, 4.3606 and 6.1806 Å, with angles of 90.00, 90.00 and 120.00 degrees. Symmetry generates all atoms from Rb at (0.0000, 0.0000, 0.0000), Si at (0.3333, 0.6667, 0.4093) and Sn at (0.6667, 0.3333, 0.5463).

The calculation puts the energy above the most stable polymorph in this dataset at 22 meV/atom. The final energy is -10.3 eV/f.u.

Question: Which of these has the lowest final energy?
Answer: RbSi6

Repeat the eighth record exactly.
Computed, not measured: a relaxed structure of RbSiSn at the PBE level of DFT.

The space group is P3m1 (No. 156) and the conventional cell measures 4.3606, 4.3606 and 6.1806 Å, with angles of 90.00, 90.00 and 120.00 degrees. Symmetry generates all atoms from Rb at (0.0000, 0.0000, 0.0000), Si at (0.3333, 0.6667, 0.4093) and Sn at (0.6667, 0.3333, 0.5463).

The calculation puts the energy above the most stable polymorph in this dataset at 22 meV/atom. The final energy is -10.3 eV/f.u.